# 1
Compound: Zr4PbN
Source: Alexandria via LeMat-Bulk
Functional: GGA-PBE
Structure: optimized geometry

Structure (POSCAR):
```
Zr4PbN
1.0
5.146 0.000 0.000
0.000 3.247 0.000
-1.968 0.000 7.494
Zr Pb N
4 1 1
direct
0.109 0.000 0.228
0.295 0.500 0.594
0.705 0.500 0.406
0.891 0.000 0.772
0.500 0.500 0.000
0.000 0.000 0.500
```

The calculation puts the density of states at the Fermi level at 0.6003 states/eV/atom. The space group is P2/m, No. 10. The calculation puts the uncorrected energy at -8.288 eV per atom. The calculation puts the uncorrected formation energy at -0.58 eV per atom.

=====

# 2
Compound: ReHgPCl2
Source: Alexandria via LeMat-Bulk
Functional: GGA-PBE
Structure: optimized geometry

Structure (POSCAR):
```
ReHgPCl2
1.0
5.161 0.000 0.000
0.000 5.161 0.000
0.000 0.000 5.209
Re Hg P Cl
1 1 1 2
direct
0.000 0.000 0.000
0.500 0.500 0.500
0.500 0.500 0.000
0.000 0.500 0.500
0.500 0.000 0.500
```

The calculation puts the density of states at the Fermi level at 0.3861 states/eV/atom. The space group is P4/mmm, No. 123. The calculation puts the uncorrected energy at -2.957 eV per atom. The calculation puts the uncorrected formation energy at 1.41 eV per atom.

=====

# 3
Compound: CaTa2Cd
Source: Alexandria via LeMat-Bulk
Functional: GGA-PBE
Structure: optimized geometry

Structure (POSCAR):
```
CaTa2Cd
1.0
2.924 0.000 0.000
0.000 2.924 0.000
0.000 0.000 9.966
Ca Ta Cd
1 2 1
direct
0.000 0.000 0.000
0.000 0.000 0.498
0.500 0.500 0.720
0.500 0.500 0.261
```

The calculation puts the density of states at the Fermi level at 0.9171 states/eV/atom. The space group is P4mm, No. 99. The calculation puts the uncorrected energy at -6.317 eV per atom. For the formation energy from the elements, the calculation gives 0.339 eV/atom.

=====

# 4
Compound: LiTcSbTe2
Source: Alexandria via LeMat-Bulk
Functional: GGA-PBE
Structure: optimized geometry

Structure (POSCAR):
```
LiTcSbTe2
1.0
5.103 0.000 0.000
0.000 5.103 0.000
0.000 0.000 4.831
Li Tc Sb Te
1 1 1 2
direct
0.000 0.000 0.000
0.500 0.500 0.500
0.000 0.000 0.500
0.000 0.500 0.000
0.500 0.000 0.000
```

The calculation puts the density of states at the Fermi level at 0.9808 states/eV/atom. The space group is P4/mmm, No. 123. The calculation puts the uncorrected energy at -3.669 eV per atom. The calculation puts the uncorrected formation energy at 0.87 eV per atom.

=====

# 5
Compound: Ni3SnPd
Source: Alexandria via LeMat-Bulk
Functional: GGA-PBE
Structure: optimized geometry

Structure (POSCAR):
```
Ni3SnPd
1.0
4.577 0.000 0.000
0.000 4.577 0.000
0.000 0.000 4.577
Ni Sn Pd
3 1 1
direct
0.000 0.000 0.500
0.000 0.500 0.000
0.500 0.000 0.000
0.500 0.500 0.500
0.000 0.000 0.000
```

The calculation puts the density of states at the Fermi level at 2.0541 states/eV/atom. The space group is Pm-3m, No. 221. The calculation puts the uncorrected energy at -4.345 eV per atom. For the formation energy from the elements, the calculation gives 0.963 eV/atom.

=====

# 6
Compound: Pr4TlSn2
Source: Alexandria via LeMat-Bulk
Functional: GGA-PBE
Structure: optimized geometry

Structure (POSCAR):
```
Pr4TlSn2
1.0
2.540 1.467 11.138
-2.540 1.467 11.138
0.000 -2.933 11.138
Pr Tl Sn
4 1 2
direct
0.120 0.120 0.120
0.298 0.298 0.298
0.702 0.702 0.702
0.880 0.880 0.880
0.500 0.500 0.500
0.403 0.403 0.403
0.597 0.597 0.597
```

The calculation puts the density of states at the Fermi level at 1.0544 states/eV/atom. The space group is R-3m, No. 166. The calculation puts the uncorrected energy at -4.620 eV per atom. For the formation energy from the elements, the calculation gives -0.407 eV/atom.

=====

# 7
Compound: Sr2BeSb
Source: Alexandria via LeMat-Bulk
Functional: GGA-PBE
Structure: optimized geometry

Structure (POSCAR):
```
Sr2BeSb
1.0
0.000 3.944 3.944
3.944 0.000 3.944
3.944 3.944 0.000
Sr Be Sb
2 1 1
direct
0.000 0.000 0.000
0.250 0.250 0.250
0.500 0.500 0.500
0.750 0.750 0.750
```

The calculation puts the density of states at the Fermi level at 0.7185 states/eV/atom. The space group is F-43m, No. 216. The calculation puts the uncorrected energy at -2.536 eV per atom. The calculation puts the uncorrected formation energy at 0.27 eV per atom.

=====

# 8
Compound: NiSb2Ru
Source: Alexandria via LeMat-Bulk
Functional: GGA-PBE
Structure: optimized geometry

Structure (POSCAR):
```
NiSb2Ru
1.0
-1.936 1.936 4.754
1.936 -1.936 4.754
1.936 1.936 -4.754
Ni Sb Ru
1 2 1
direct
0.000 0.000 0.000
0.500 0.500 0.000
0.750 0.250 0.500
0.250 0.750 0.500
```

The calculation puts the density of states at the Fermi level at 0.8587 states/eV/atom. The space group is I-4m2, No. 119. The calculation puts the uncorrected energy at -5.564 eV per atom. The calculation puts the uncorrected formation energy at 0.26 eV per atom.